VASP calculation (PBE+U) on crystalline YNiP2O at its relaxed geometry.

Properties
- ΔE to the lowest computed polymorph (meV/atom) = 1010
- total moment (μB/f.u.) = 1.71
- VASP energy (eV per atom) = -4.2932
- SG = P4/mmm

Lattice parameters (Å, degrees): 5.3906 5.3906 4.1269 90.00 90.00 90.00
Positions (direct):
Y: 0.0000 0.0000 0.0000
Ni: 0.5000 0.5000 0.5000
P: 0.0000 0.5000 0.0000
P: 0.5000 0.0000 0.0000
O: 0.0000 0.0000 0.5000